ScCoTe2S (PBE, relaxed); total moment = 0.00 μB per formula unit; ΔE_f (raw) = 97 meV per atom; crystal system = tetragonal
1.0
5.394 0.000 0.000
0.000 5.394 0.000
0.000 0.000 4.024
Sc Co Te S
1 1 2 1
direct
0.000 0.000 0.000
0.500 0.500 0.000
0.000 0.500 0.500
0.500 0.000 0.500
0.500 0.500 0.500

=====

TbEr4Tm5 (PBE, relaxed); total moment = 0.00 μB per formula unit; formation enthalpy at 0 K = 313 meV per atom; offset from the most stable computed form = 260 meV/atom; crystal system = tetragonal
1.0
-5.021 5.021 3.115
5.021 -5.021 3.115
5.021 5.021 -3.115
Tb Er Tm
1 4 5
direct
0.000 0.000 0.000
0.179 0.882 0.603
0.279 0.576 0.397
0.576 0.179 0.297
0.882 0.279 0.703
0.458 0.458 0.000
0.494 0.871 0.910
0.585 0.494 0.624
0.871 0.961 0.376
0.961 0.585 0.090

=====

NpVIr (PBE, relaxed); total moment = 3.22 μB per formula unit; formation enthalpy at 0 K = 26 meV per atom; offset from the most stable computed form = 143 meV/atom; crystal system = trigonal
1.0
4.521 0.000 0.000
-2.260 3.915 0.000
0.000 0.000 2.784
Np V Ir
1 1 1
direct
0.000 0.000 0.000
0.667 0.333 0.222
0.333 0.667 0.654